Model P:
VASP calculation (GGA-PBE) on AlGeTe2I after structural relaxation.

```
5
Lattice="5.4416 0.0000 0.0000 0.0000 5.4416 0.0000 0.0000 0.0000 5.8752" Properties=species:S:1:pos:R:3 pbc="T T T"
Al 0.0000 0.0000 0.0000
Ge 2.7208 2.7208 2.9376
Te 0.0000 2.7208 2.9376
Te 2.7208 0.0000 2.9376
I 2.7208 2.7208 0.0000
```

Output
Its space group is P4/mmm (123). As for the density of states at the Fermi level: 4.38 states/eV/f.u. The calculation puts the density at 4.6 Mg/m³. As for the volume: 34.795 A^3/atom.

Model Q:
VASP calculation (GGA-PBE) on AlGeTe2I after structural relaxation.

```
5
Lattice="5.3877 0.0000 0.0000 0.0000 5.3877 0.0000 0.0000 0.0000 5.4190" Properties=species:S:1:pos:R:3 pbc="T T T"
Al 0.0000 0.0000 0.0000
Ge 2.6938 2.6938 2.7095
Te 0.0000 2.6938 0.0000
Te 2.6938 0.0000 0.0000
I 0.0000 0.0000 2.7095
```

Output
Its space group is P4/mmm (123). As for the density of states at the Fermi level: 3.17 states/eV/f.u. The calculation puts the density at 5.1 Mg/m³. As for the volume: 31.460 A^3/atom.

Quick one: least stable of them? model P

Model P:
VASP calculation (GGA-PBE) on AlInGe2 after structural relaxation.

```
4
Lattice="2.0599 1.1893 6.0183 -2.0599 1.1893 6.0183 0.0000 -2.3786 6.0183" Properties=species:S:1:pos:R:3 pbc="T T T"
Al 0.0000 0.0000 0.0000
In 0.0000 0.0000 15.0136
Ge 0.0000 0.0000 7.2554
Ge 0.0000 0.0000 10.7705
```

Output
Its space group is R3m (160). As for the density of states at the Fermi level: 2.59 states/eV/f.u. The calculation puts the density at 5.4 Mg/m³. As for the volume: 22.116 A^3/atom.

Model Q:
VASP calculation (GGA-PBE) on AlInGe2 after structural relaxation.

```
4
Lattice="3.3376 0.0000 0.0000 0.0000 3.3376 0.0000 0.0000 0.0000 7.5295" Properties=species:S:1:pos:R:3 pbc="T T T"
Al 0.0000 0.0000 0.0000
In 0.0000 0.0000 3.7648
Ge 1.6688 1.6688 1.4968
Ge 1.6688 1.6688 6.0328
```

Output
Its space group is P4/mmm (123). As for the density of states at the Fermi level: 1.55 states/eV/f.u. The calculation puts the density at 5.7 Mg/m³. As for the volume: 20.968 A^3/atom.

Quick one: least stable of them? model P

Model P:
VASP calculation (GGA-PBE) on AlInGe2 after structural relaxation.

```
4
Lattice="0.0000 3.4596 3.4596 3.4596 0.0000 3.4596 3.4596 3.4596 0.0000" Properties=species:S:1:pos:R:3 pbc="T T T"
Al 0.0000 0.0000 0.0000
In 3.4596 3.4596 3.4596
Ge 1.7298 1.7298 1.7298
Ge 5.1894 5.1894 5.1894
```

Output
Its space group is Fm-3m (225). As for the density of states at the Fermi level: 2.46 states/eV/f.u. The calculation puts the density at 5.8 Mg/m³. As for the volume: 20.704 A^3/atom.

Model Q:
VASP calculation (GGA-PBE) on AlInGe2 after structural relaxation.

```
8
Lattice="-2.7107 2.7107 7.0930 2.7107 -2.7107 7.0930 2.7107 2.7107 -7.0930" Properties=species:S:1:pos:R:3 pbc="T T T"
Al 0.0000 0.0000 0.0000
Al 0.0000 2.7107 3.5465
In 2.7107 0.0000 3.5465
In 0.0000 0.0000 7.0930
Ge 4.0661 1.1510 -1.7732
Ge 1.1510 1.3554 1.7732
Ge -1.3554 1.5597 5.3197
Ge 1.5597 1.3554 8.8662
```

Output
Its space group is I-42d (122). As for the density of states at the Fermi level: 1.74 states/eV/f.u. The calculation puts the density at 4.6 Mg/m³. As for the volume: 26.059 A^3/atom.

Model R:
VASP calculation (GGA-PBE) on AlInGe2 after structural relaxation.

```
4
Lattice="1.9438 1.1223 6.6597 -1.9438 1.1223 6.6597 0.0000 -2.2446 6.6597" Properties=species:S:1:pos:R:3 pbc="T T T"
Al 0.0000 0.0000 0.0000
In 0.0000 0.0000 9.9895
Ge 0.0000 0.0000 5.2406
Ge 0.0000 0.0000 14.7385
```

Output
Its space group is R-3m (166). As for the density of states at the Fermi level: 1.75 states/eV/f.u. The calculation puts the density at 5.5 Mg/m³. As for the volume: 21.792 A^3/atom.

Quick one: least stable of them? model P